# ScSN2O | Alexandria via LeMat-Bulk | PBE | relaxed
data_ScSN2O
_chemical_formula_sum 'Sc1 S1 N2 O1'
_symmetry_space_group_name_H-M 'P 4/m m m'
_symmetry_Int_Tables_number 123
_symmetry_space_group_name_Hall '-P 4 2'
_cell_length_a 3.612
_cell_length_b 3.612
_cell_length_c 3.707
_cell_angle_alpha 90.00
_cell_angle_beta 90.00
_cell_angle_gamma 90.00
loop_
_atom_site_label
_atom_site_type_symbol
_atom_site_fract_x
_atom_site_fract_y
_atom_site_fract_z
Sc1 Sc 0.000 0.000 0.000
S1 S 0.500 0.500 0.500
N1 N 0.000 0.500 0.500
O1 O 0.500 0.500 0.000
# energy relative to the elements, uncorrected	0.031	kcal/mol of atoms

***

# ScSN2O | Alexandria via LeMat-Bulk | PBE | relaxed
data_ScSN2O
_chemical_formula_sum 'Sc1 S1 N2 O1'
_symmetry_space_group_name_H-M 'P 4/m m m'
_symmetry_Int_Tables_number 123
_symmetry_space_group_name_Hall '-P 4 2'
_cell_length_a 3.850
_cell_length_b 3.850
_cell_length_c 3.698
_cell_angle_alpha 90.00
_cell_angle_beta 90.00
_cell_angle_gamma 90.00
loop_
_atom_site_label
_atom_site_type_symbol
_atom_site_fract_x
_atom_site_fract_y
_atom_site_fract_z
Sc1 Sc 0.000 0.000 0.000
S1 S 0.500 0.500 0.000
N1 N 0.000 0.500 0.500
O1 O 0.500 0.500 0.500
# energy relative to the elements, uncorrected	20.836	kcal/mol of atoms

***

# ScS2NO | Alexandria via LeMat-Bulk | PBE | relaxed
data_ScS2NO
_chemical_formula_sum 'Sc1 S2 N1 O1'
_symmetry_space_group_name_H-M 'P 4/m m m'
_symmetry_Int_Tables_number 123
_symmetry_space_group_name_Hall '-P 4 2'
_cell_length_a 5.024
_cell_length_b 5.024
_cell_length_c 4.269
_cell_angle_alpha 90.00
_cell_angle_beta 90.00
_cell_angle_gamma 90.00
loop_
_atom_site_label
_atom_site_type_symbol
_atom_site_fract_x
_atom_site_fract_y
_atom_site_fract_z
Sc1 Sc 0.000 0.000 0.000
S1 S 0.000 0.500 0.000
N1 N 0.000 0.000 0.500
O1 O 0.500 0.500 0.500
# energy relative to the elements, uncorrected	18.738	kcal/mol of atoms
# polymorph energy (0 for the lowest one)	0.4105	eV/atom

***

# Sm4S2NO | Alexandria via LeMat-Bulk | PBE | relaxed
data_Sm4S2NO
_chemical_formula_sum 'Sm4 S2 N1 O1'
_symmetry_space_group_name_H-M 'P 1 2/m 1'
_symmetry_Int_Tables_number 10
_symmetry_space_group_name_Hall '-P 2y'
_cell_length_a 6.454
_cell_length_b 3.724
_cell_length_c 6.733
_cell_angle_alpha 90.00
_cell_angle_beta 108.56
_cell_angle_gamma 90.00
loop_
_atom_site_label
_atom_site_type_symbol
_atom_site_fract_x
_atom_site_fract_y
_atom_site_fract_z
Sm1 Sm 0.232 0.000 0.209
Sm2 Sm 0.257 0.500 0.789
S1 S 0.000 0.000 0.500
S2 S 0.500 0.500 0.500
N1 N 0.000 0.500 0.000
O1 O 0.500 0.000 0.000
# energy relative to the elements, uncorrected	-47.629	kcal/mol of atoms

***

# Sm6S2N3O | Alexandria via LeMat-Bulk | PBE | relaxed
data_Sm6S2N3O
_chemical_formula_sum 'Sm12 S4 N6 O2'
_symmetry_space_group_name_H-M 'C 1 2/m 1'
_symmetry_Int_Tables_number 12
_symmetry_space_group_name_Hall '-C 2y'
_cell_length_a 16.403
_cell_length_b 3.679
_cell_length_c 7.541
_cell_angle_alpha 90.00
_cell_angle_beta 105.26
_cell_angle_gamma 90.00
loop_
_atom_site_label
_atom_site_type_symbol
_atom_site_fract_x
_atom_site_fract_y
_atom_site_fract_z
Sm1 Sm 0.007 0.000 0.250
Sm2 Sm 0.156 0.500 0.106
Sm3 Sm 0.170 0.500 0.560
S1 S 0.167 0.000 0.835
N1 N 0.000 0.500 0.000
N2 N 0.165 0.000 0.337
O1 O 0.000 0.500 0.500
# energy relative to the elements, uncorrected	-43.187	kcal/mol of atoms

***

# SnSNO2 | Alexandria via LeMat-Bulk | PBE | relaxed
data_SnSNO2
_chemical_formula_sum 'Sn1 S1 N1 O2'
_symmetry_space_group_name_H-M 'P 4/m m m'
_symmetry_Int_Tables_number 123
_symmetry_space_group_name_Hall '-P 4 2'
_cell_length_a 3.978
_cell_length_b 3.978
_cell_length_c 4.320
_cell_angle_alpha 90.00
_cell_angle_beta 90.00
_cell_angle_gamma 90.00
loop_
_atom_site_label
_atom_site_type_symbol
_atom_site_fract_x
_atom_site_fract_y
_atom_site_fract_z
Sn1 Sn 0.000 0.000 0.000
S1 S 0.500 0.500 0.500
N1 N 0.000 0.000 0.500
O1 O 0.000 0.500 0.000
# energy relative to the elements, uncorrected	15.057	kcal/mol of atoms